{
  "formula": "ErFeIrO6",
  "functional": "PBE with a Hubbard U",
  "state": "relaxed",
  "lattice_angstrom": [[5.269, 0.000, 0.000], [-2.634, 4.563, 0.000], [0.000, 0.000, 8.546]],
  "species": ["Er", "Er", "Fe", "Fe", "Ir", "Ir", "O", "O", "O", "O", "O", "O", "O", "O", "O", "O", "O", "O"],
  "fractional_positions": [[0.333, 0.667, 0.250], [0.667, 0.333, 0.750], [0.000, 0.000, 0.000], [0.000, 0.000, 0.500], [0.333, 0.667, 0.750], [0.667, 0.333, 0.250], [0.037, 0.349, 0.620], [0.037, 0.688, 0.880], [0.312, 0.349, 0.880], [0.312, 0.963, 0.620], [0.349, 0.037, 0.120], [0.349, 0.312, 0.380], [0.651, 0.688, 0.620], [0.651, 0.963, 0.880], [0.688, 0.037, 0.380], [0.688, 0.651, 0.120], [0.963, 0.312, 0.120], [0.963, 0.651, 0.380]],
  "e_tot_ry_per_atom": -0.4955,
  "crystal_system": "trigonal",
  "space_group": "P-31c"
}